# Tb3PdO6 | the Alexandria database | PBE-GGA | relaxed
# - N(E_F) (states/eV/atom) = 0.117
# - uncorrected energy (eV/atom) = -7.56
# - energy relative to the elements, uncorrected (kJ per mole of atoms) = -258.6
# - offset from the most stable computed form (meV/atom) = 36
data_Tb3PdO6
_chemical_formula_sum 'Tb12 Pd4 O24'
_space_group_name_H-M_alt 'C m c 21'
_space_group_IT_number 36
_space_group_name_Hall 'C 2c -2'
_cell_length_a 9.037
_cell_length_b 11.118
_cell_length_c 5.543
_cell_angle_alpha 90.00
_cell_angle_beta 90.00
_cell_angle_gamma 90.00
loop_
_atom_site_label
_atom_site_fract_x
_atom_site_fract_y
_atom_site_fract_z
Tb1 0.000 0.103 0.000
Tb2 0.207 0.384 0.947
Pd1 0.000 0.363 0.442
O1 0.000 0.279 0.761
O2 0.000 0.478 0.139
O3 0.148 0.245 0.241
O4 0.159 0.015 0.721

=====

# Tb2PdO | the Alexandria database | PBE-GGA | relaxed
# - N(E_F) (states/eV/atom) = 0.708
# - uncorrected energy (eV/atom) = -6.14
# - energy relative to the elements, uncorrected (kJ per mole of atoms) = -124.1
# - offset from the most stable computed form (meV/atom) = 467
data_Tb2PdO
_chemical_formula_sum 'Tb2 Pd1 O1'
_space_group_name_H-M_alt 'P 4/m m m'
_space_group_IT_number 123
_space_group_name_Hall '-P 4 2'
_cell_length_a 3.173
_cell_length_b 3.173
_cell_length_c 7.054
_cell_angle_alpha 90.00
_cell_angle_beta 90.00
_cell_angle_gamma 90.00
loop_
_atom_site_label
_atom_site_fract_x
_atom_site_fract_y
_atom_site_fract_z
Tb1 0.000 0.000 0.225
Pd1 0.500 0.500 0.500
O1 0.500 0.500 0.000

=====

Listing calculated density for the structures above in their given order: 8.10; 10.29 g/cm3.